Below is a relaxed structure of ScZnTeN2, with properties calculated at the PBE level.

The structure belongs to space group P4/mmm (No. 123); the cell edges are 4.085, 4.085 and 6.141 Å and the angles 90.00°, 90.00° and 90.00°. The distinct sites, in fractional coordinates, are Sc at (0.000, 0.000, 0.000), Zn at (0.500, 0.500, 0.500), Te at (0.000, 0.000, 0.500) and N at (0.000, 0.500, 0.000).

The value obtained for the raw formation energy is 0.60 eV per atom.